(1)
Compound: SrGdSe2
Source: Alexandria
Functional: GGA-PBE
Structure: optimized geometry Values from VASP.

The calculation puts the volume at 332.5 Å³ per cell. For the total magnetization, the calculation gives 6.89 μB/f.u. As for the energy: -91.26 eV per cell. Its space group is R-3m.

Geometry as Quantum ESPRESSO input:
```
&SYSTEM
  ibrav = 0, nat = 12, ntyp = 3
/
ATOMIC_SPECIES
Sr 87.62 Sr.upf
Gd 157.25 Gd.upf
Se 78.96 Se.upf
CELL_PARAMETERS angstrom
4.2483 0.0000 0.0000
-2.1242 3.6792 0.0000
0.0000 0.0000 21.2714
ATOMIC_POSITIONS angstrom
Sr 0.0000 0.0000 0.0000
Sr 0.0000 2.4528 14.1810
Sr 2.1242 1.2264 7.0905
Gd 0.0000 0.0000 10.6357
Gd 0.0000 2.4528 3.5452
Gd 2.1242 1.2264 17.7262
Se 0.0000 0.0000 5.2032
Se 0.0000 0.0000 16.0683
Se 0.0000 2.4528 8.9778
Se 0.0000 2.4528 19.3842
Se 2.1242 1.2264 1.8873
Se 2.1242 1.2264 12.2937
```

---

(2)
Compound: CaHI2
Source: Alexandria
Functional: GGA-PBE
Structure: optimized geometry Values from VASP.

The calculation puts the volume at 473.7 Å³ per cell. For the total magnetization, the calculation gives 1.00 μB/f.u. As for the energy: -42.49 eV per cell. Its space group is Fm-3m.

Geometry as Quantum ESPRESSO input:
```
&SYSTEM
  ibrav = 0, nat = 16, ntyp = 3
/
ATOMIC_SPECIES
Ca 40.08 Ca.upf
H 1.01 H.upf
I 126.90 I.upf
CELL_PARAMETERS angstrom
7.7951 0.0000 0.0000
0.0000 7.7951 0.0000
0.0000 0.0000 7.7951
ATOMIC_POSITIONS angstrom
Ca 0.0000 0.0000 0.0000
Ca 0.0000 3.8976 3.8976
Ca 3.8976 0.0000 3.8976
Ca 3.8976 3.8976 0.0000
H 0.0000 0.0000 3.8976
H 0.0000 3.8976 0.0000
H 3.8976 0.0000 0.0000
H 3.8976 3.8976 3.8976
I 1.9488 1.9488 1.9488
I 1.9488 1.9488 5.8463
I 1.9488 5.8463 1.9488
I 1.9488 5.8463 5.8463
I 5.8463 1.9488 1.9488
I 5.8463 1.9488 5.8463
I 5.8463 5.8463 1.9488
I 5.8463 5.8463 5.8463
```

---

(3)
Compound: CaScBi2W
Source: Alexandria
Functional: GGA-PBE
Structure: optimized geometry Values from VASP.

The formation enthalpy at 0 K is 0.40 eV per atom. The calculation puts the volume at 155.2 Å³ per cell. For the total magnetization, the calculation gives 0.00 μB/f.u. As for the energy: -27.04 eV per cell. Its space group is P4/mmm.

Geometry as Quantum ESPRESSO input:
```
&SYSTEM
  ibrav = 0, nat = 5, ntyp = 4
/
ATOMIC_SPECIES
Ca 40.08 Ca.upf
Sc 44.96 Sc.upf
Bi 208.98 Bi.upf
W 183.84 W.upf
CELL_PARAMETERS angstrom
5.4981 0.0000 0.0000
0.0000 5.4981 0.0000
0.0000 0.0000 5.1329
ATOMIC_POSITIONS angstrom
Ca 0.0000 0.0000 0.0000
Sc 2.7491 2.7491 0.0000
Bi 0.0000 2.7491 2.5665
Bi 2.7491 0.0000 2.5665
W 2.7491 2.7491 2.5665
```

---

- Which formula does entry 3 have?
  CaScBi2W